6
Lattice="4.072 0.000 0.000 0.000 4.072 0.000 0.000 0.000 11.180" Properties=species:S:1:pos:R:3 comment="Tl5Pb (PBE-GGA, optimized geometry)" n_ef_per_ev_atom=0.352 de_polymorph_ev_per_fu=0.14 formation_enthalpy_0k_ev_per_atom=0.02 pbc="T T T"
Tl 0.000 0.000 7.435
Tl 2.036 2.036 9.297
Tl 0.000 0.000 0.000
Tl 2.036 2.036 1.882
Tl 0.000 0.000 3.745
Pb 2.036 2.036 5.590

6
Lattice="-5.162 0.782 1.900 2.411 -4.983 0.479 2.589 1.855 6.269" Properties=species:S:1:pos:R:3 comment="Tl2Pb (PBE-GGA, optimized geometry)" n_ef_per_ev_atom=0.576 de_polymorph_ev_per_fu=0.18 formation_enthalpy_0k_ev_per_atom=0.06 pbc="T T T"
Pb 0.534 -2.598 2.520
Pb -0.696 0.252 6.128
Tl 0.000 0.000 0.000
Tl 1.294 0.927 3.135
Tl 1.828 -1.670 5.654
Tl -1.991 -0.676 2.994